First-principles (PBE) data for TlBi2N after structural relaxation, as listed in Alexandria via LeMat-Bulk.

Values from the calculation:
density of states at the Fermi level	1.2	states/eV/cell
E_form (uncorrected)	1.791	eV per formula unit
symmetry	P1
energy relative to the lowest polymorph listed for this composition	69	meV per atom
ρ	10.0	g/cm³

Unit cell a=3.4853 b=5.3836 c=6.1332 alpha=70.68 beta=77.13 gamma=89.24
With the nearest neighbours (Å) after each atom.
Fractional coordinates of all 4 atoms:
Tl1 0.0000 0.0000 0.0000  1 N 2.87
Bi1 0.2726 0.3427 0.3404  1 N 2.26
Bi2 0.6301 0.6568 0.6696  2 N 2.31
N1 0.2135 0.8983 0.4462  3 Bi 2.26-2.31

***

First-principles (PBE) data for TlBi2N2 after structural relaxation, as listed in Alexandria via LeMat-Bulk.

Values from the calculation:
density of states at the Fermi level	4.7	states/eV/cell
E_form (uncorrected)	3.072	eV per formula unit
symmetry	I4/mmm
energy relative to the lowest polymorph listed for this composition	451	meV per atom
ρ	9.4	g/cm³

Unit cell a=4.1122 b=4.1122 c=13.6326 alpha=90.00 beta=90.00 gamma=90.00
With the nearest neighbours (Å) after each atom.
Fractional coordinates of all 10 atoms:
Tl1 0.0000 0.0000 0.0000  8 Bi 3.72, 8 N 3.98, 4 Tl 4.11
Tl2 0.5000 0.5000 0.5000  8 Bi 3.72, 8 N 3.98, 4 Tl 4.11
Bi1 0.0000 0.0000 0.3297  4 N 2.33
Bi2 0.0000 0.0000 0.6703  4 N 2.33
Bi3 0.5000 0.5000 0.1703  4 N 2.33
Bi4 0.5000 0.5000 0.8297  4 N 2.33
N1 0.0000 0.5000 0.2500  4 Bi 2.33
N2 0.0000 0.5000 0.7500  4 Bi 2.33
N3 0.5000 0.0000 0.2500  4 Bi 2.33
N4 0.5000 0.0000 0.7500  4 Bi 2.33

***

First-principles (PBE) data for TlBi2N2 after structural relaxation, as listed in Alexandria via LeMat-Bulk.

Values from the calculation:
density of states at the Fermi level	1.8	states/eV/cell
E_form (uncorrected)	0.818	eV per formula unit
symmetry	P-1
energy relative to the lowest polymorph listed for this composition	0	meV per atom
ρ	5.0	g/cm³

Unit cell a=4.2811 b=6.7341 c=8.0277 alpha=78.00 beta=81.58 gamma=71.79
With the nearest neighbours (Å) after each atom.
Fractional coordinates of all 5 atoms:
Tl1 0.0000 0.0000 0.0000  2 N 3.47, 6 Bi 3.51-3.85
Bi1 0.3109 0.4388 0.8878  2 Bi 2.97
Bi2 0.6891 0.5612 0.1122  2 Bi 2.97
N1 0.0235 0.9997 0.5666  1 N 1.11
N2 0.9765 0.0003 0.4334  1 N 1.11

***

First-principles (PBE) data for TlBi2N after structural relaxation, as listed in Alexandria via LeMat-Bulk.

Values from the calculation:
density of states at the Fermi level	15.9	states/eV/cell
E_form (uncorrected)	4.638	eV per formula unit
symmetry	Fm-3m
energy relative to the lowest polymorph listed for this composition	780	meV per atom
ρ	11.1	g/cm³

Unit cell a=7.2586 b=7.2586 c=7.2586 alpha=90.00 beta=90.00 gamma=90.00
With the nearest neighbours (Å) after each atom.
Fractional coordinates of all 16 atoms:
Tl1 0.0000 0.0000 0.0000  8 Bi 3.14
Tl2 0.0000 0.5000 0.5000  8 Bi 3.14
Tl3 0.5000 0.0000 0.5000  8 Bi 3.14
Tl4 0.5000 0.5000 0.0000  8 Bi 3.14
Bi1 0.2500 0.2500 0.2500  4 Tl 3.14, 4 N 3.14
Bi2 0.2500 0.2500 0.7500  4 Tl 3.14, 4 N 3.14
Bi3 0.2500 0.7500 0.2500  4 Tl 3.14, 4 N 3.14
Bi4 0.2500 0.7500 0.7500  4 Tl 3.14, 4 N 3.14
Bi5 0.7500 0.2500 0.2500  4 Tl 3.14, 4 N 3.14
Bi6 0.7500 0.2500 0.7500  4 Tl 3.14, 4 N 3.14
Bi7 0.7500 0.7500 0.2500  4 Tl 3.14, 4 N 3.14
Bi8 0.7500 0.7500 0.7500  4 Tl 3.14, 4 N 3.14
N1 0.0000 0.0000 0.5000  8 Bi 3.14
N2 0.0000 0.5000 0.0000  8 Bi 3.14
N3 0.5000 0.0000 0.0000  8 Bi 3.14
N4 0.5000 0.5000 0.5000  8 Bi 3.14

***

First-principles (PBE) data for TlBiN3 after structural relaxation, as listed in Alexandria via LeMat-Bulk.

Values from the calculation:
density of states at the Fermi level	4.1	states/eV/cell
E_form (uncorrected)	10.533	eV per formula unit
symmetry	Pm-3m
ρ	9.4	g/cm³

Unit cell a=4.3173 b=4.3173 c=4.3173 alpha=90.00 beta=90.00 gamma=90.00
With the nearest neighbours (Å) after each atom.
Fractional coordinates of all 5 atoms:
Tl1 0.0000 0.0000 0.0000  6 N 2.16
Bi1 0.5000 0.5000 0.5000  12 N 3.05
N1 0.0000 0.0000 0.5000  2 Tl 2.16
N2 0.0000 0.5000 0.0000  2 Tl 2.16
N3 0.5000 0.0000 0.0000  2 Tl 2.16

***

First-principles (PBE) data for TlBi2N after structural relaxation, as listed in Alexandria via LeMat-Bulk.

Values from the calculation:
density of states at the Fermi level	1.6	states/eV/cell
E_form (uncorrected)	1.611	eV per formula unit
symmetry	P1
energy relative to the lowest polymorph listed for this composition	24	meV per atom
ρ	9.2	g/cm³

Unit cell a=5.5095 b=6.0340 c=7.7188 alpha=82.24 beta=84.71 gamma=65.02
With the nearest neighbours (Å) after each atom.
Fractional coordinates of all 8 atoms:
Tl1 0.0000 0.0000 0.0000  1 N 2.49
Tl2 0.3133 0.4006 0.1326  2 N 2.46-2.54
Bi1 0.2769 0.4216 0.6329  1 N 2.29
Bi2 0.5594 0.8478 0.7547  2 Bi 3.18-3.21, 1 Tl 3.31
Bi3 0.6224 0.7593 0.3490  2 N 2.22-2.27
Bi4 0.9746 0.1195 0.4942  2 N 2.23-2.34
N1 0.2324 0.0374 0.2494  2 Bi 2.22-2.23, 1 Tl 2.46
N2 0.5594 0.4070 0.3929  3 Bi 2.27-2.34, 1 Tl 2.54

***

First-principles (PBE) data for TlBiN3 after structural relaxation, as listed in Alexandria via LeMat-Bulk.

Values from the calculation:
density of states at the Fermi level	3.1	states/eV/cell
E_form (uncorrected)	9.169	eV per formula unit
symmetry	Pm-3m
ρ	8.6	g/cm³

Unit cell a=4.4434 b=4.4434 c=4.4434 alpha=90.00 beta=90.00 gamma=90.00
With the nearest neighbours (Å) after each atom.
Fractional coordinates of all 5 atoms:
Tl1 0.0000 0.0000 0.0000  12 N 3.14
Bi1 0.5000 0.5000 0.5000  6 N 2.22
N1 0.0000 0.5000 0.5000  2 Bi 2.22
N2 0.5000 0.0000 0.5000  2 Bi 2.22
N3 0.5000 0.5000 0.0000  2 Bi 2.22

***

First-principles (PBE) data for Tl3BiN after structural relaxation, as listed in Alexandria via LeMat-Bulk.

Values from the calculation:
density of states at the Fermi level	15.2	states/eV/cell
E_form (uncorrected)	7.811	eV per formula unit
symmetry	Pm-3m
energy relative to the lowest polymorph listed for this composition	1106	meV per atom
ρ	6.2	g/cm³

Unit cell a=6.0692 b=6.0692 c=6.0692 alpha=90.00 beta=90.00 gamma=90.00
With the nearest neighbours (Å) after each atom.
Fractional coordinates of all 5 atoms:
Tl1 0.0000 0.0000 0.5000  2 Bi 3.03
Tl2 0.0000 0.5000 0.0000  2 Bi 3.03
Tl3 0.5000 0.0000 0.0000  2 Bi 3.03
Bi1 0.0000 0.0000 0.0000  6 Tl 3.03
N1 0.5000 0.5000 0.5000  12 Tl 4.29

***

First-principles (PBE) data for Tl2BiN2 after structural relaxation, as listed in Alexandria via LeMat-Bulk.

Values from the calculation:
density of states at the Fermi level	7.3	states/eV/cell
E_form (uncorrected)	6.508	eV per formula unit
symmetry	I4/mmm
energy relative to the lowest polymorph listed for this composition	1180	meV per atom
ρ	11.1	g/cm³

Unit cell a=4.4178 b=4.4178 c=9.8868 alpha=90.00 beta=90.00 gamma=90.00
With the nearest neighbours (Å) after each atom.
Fractional coordinates of all 10 atoms:
Tl1 0.0000 0.0000 0.1580  4 N 2.39
Tl2 0.0000 0.0000 0.8420  4 N 2.39
Tl3 0.5000 0.5000 0.3420  4 N 2.39
Tl4 0.5000 0.5000 0.6580  4 N 2.39
Bi1 0.0000 0.0000 0.5000  8 N 3.31, 10 Tl 3.38-3.49
Bi2 0.5000 0.5000 0.0000  8 N 3.31, 10 Tl 3.38-3.49
N1 0.0000 0.5000 0.2500  4 Tl 2.39
N2 0.0000 0.5000 0.7500  4 Tl 2.39
N3 0.5000 0.0000 0.2500  4 Tl 2.39
N4 0.5000 0.0000 0.7500  4 Tl 2.39

***

First-principles (PBE) data for TlBi2N after structural relaxation, as listed in Alexandria via LeMat-Bulk.

Values from the calculation:
density of states at the Fermi level	2.4	states/eV/cell
E_form (uncorrected)	1.517	eV per formula unit
symmetry	Cm
energy relative to the lowest polymorph listed for this composition	0	meV per atom
ρ	9.4	g/cm³

Unit cell a=10.7035 b=5.9885 c=7.2338 alpha=90.00 beta=103.78 gamma=90.00
With the nearest neighbours (Å) after each atom.
Fractional coordinates of all 16 atoms:
Tl1 0.0000 0.0000 0.0000  2 N 2.51
Tl2 0.1611 0.5000 0.8591  2 Bi 3.28-3.66, 1 Tl 3.53
Tl3 0.5000 0.5000 0.0000  2 N 2.51
Tl4 0.6611 0.0000 0.8591  2 Bi 3.28-3.66, 1 Tl 3.53
Bi1 0.0017 0.0000 0.5011  2 N 2.23
Bi2 0.1651 0.5000 0.4071  2 N 2.31
Bi3 0.3118 0.0000 0.6742  2 Bi 3.23-3.26
Bi4 0.3392 0.0000 0.2385  2 N 2.24
Bi5 0.5017 0.5000 0.5011  2 N 2.23
Bi6 0.6651 0.0000 0.4071  2 N 2.31
Bi7 0.8118 0.5000 0.6742  2 Bi 3.23-3.26
Bi8 0.8392 0.5000 0.2385  2 N 2.24
N1 0.0018 0.2551 0.2759  3 Bi 2.23-2.31
N2 0.0018 0.7449 0.2759  3 Bi 2.23-2.31
N3 0.5018 0.2449 0.2759  3 Bi 2.23-2.31
N4 0.5018 0.7551 0.2759  3 Bi 2.23-2.31

***

First-principles (PBE) data for TlBi2N after structural relaxation, as listed in Alexandria via LeMat-Bulk.

Values from the calculation:
density of states at the Fermi level	7.6	states/eV/cell
E_form (uncorrected)	1.735	eV per formula unit
symmetry	C2
energy relative to the lowest polymorph listed for this composition	55	meV per atom
ρ	9.8	g/cm³

Unit cell a=6.7970 b=10.6660 c=6.5647 alpha=90.00 beta=115.44 gamma=90.00
With the nearest neighbours (Å) after each atom.
Fractional coordinates of all 16 atoms:
Tl1 0.2243 0.0000 0.2390  1 N 2.48
Tl2 0.2757 0.5000 0.7610  1 N 2.48
Tl3 0.7243 0.5000 0.2390  1 N 2.48
Tl4 0.7757 0.0000 0.7610  1 N 2.48
Bi1 0.2114 0.3488 0.2414  1 N 2.30
Bi2 0.2387 0.6721 0.2459  2 N 2.26-2.28
Bi3 0.2613 0.1721 0.7541  2 N 2.26-2.28
Bi4 0.2886 0.8488 0.7586  1 N 2.30
Bi5 0.7114 0.8488 0.2414  1 N 2.30
Bi6 0.7387 0.1721 0.2459  2 N 2.26-2.28
Bi7 0.7613 0.6721 0.7541  2 N 2.26-2.28
Bi8 0.7886 0.3488 0.7586  1 N 2.30
N1 0.1286 0.6886 0.8696  3 Bi 2.26-2.30, 1 Tl 2.48
N2 0.3714 0.1886 0.1304  3 Bi 2.26-2.30, 1 Tl 2.48
N3 0.6286 0.1886 0.8696  3 Bi 2.26-2.30, 1 Tl 2.48
N4 0.8714 0.6886 0.1304  3 Bi 2.26-2.30, 1 Tl 2.48

***

First-principles (PBE) data for TlBi2N2 after structural relaxation, as listed in Alexandria via LeMat-Bulk.

Values from the calculation:
density of states at the Fermi level	2.8	states/eV/cell
E_form (uncorrected)	5.232	eV per formula unit
symmetry	P4/mbm
energy relative to the lowest polymorph listed for this composition	883	meV per atom
ρ	11.1	g/cm³

Unit cell a=7.6615 b=7.6615 c=3.3220 alpha=90.00 beta=90.00 gamma=90.00
With the nearest neighbours (Å) after each atom.
Fractional coordinates of all 10 atoms:
Tl1 0.0000 0.0000 0.0000  4 N 3.02, 2 Tl 3.32
Tl2 0.5000 0.5000 0.0000  4 N 3.02, 2 Tl 3.32
Bi1 0.1369 0.3631 0.5000  4 N 2.62
Bi2 0.3631 0.8631 0.5000  4 N 2.62
Bi3 0.6369 0.1369 0.5000  4 N 2.62
Bi4 0.8631 0.6369 0.5000  4 N 2.62
N1 0.1266 0.6266 0.0000  4 Bi 2.62, 1 N 2.74
N2 0.3734 0.1266 0.0000  4 Bi 2.62, 1 N 2.74
N3 0.6266 0.8734 0.0000  4 Bi 2.62, 1 N 2.74
N4 0.8734 0.3734 0.0000  4 Bi 2.62, 1 N 2.74

***

- Look up the E_form (uncorrected) of the tenth one.
  1.517 eV per formula unit

***

- Look up the E_form (uncorrected) of the eighth one.
  7.811 eV per formula unit

***

- What is the formula in the sixth record?
  TlBi2N